PBE Hg2H2F7, optimized geometry; ρ = 6.106 Mg/m³; DFT total energy = -3.211 eV/atom; space-group type = P-1, No. 2; spin magnetization = 0.0 μB/f.u.; DOS at the Fermi energy = 0.09 states/eV per atom
1.0
-3.230 -1.400 -2.646
3.931 -5.238 -1.388
-1.155 -1.057 5.188
Hg H F
2 2 7
Cartesian
-2.873 -3.035 1.138
2.419 -4.661 0.017
-0.353 -2.934 -0.574
-0.101 -4.761 1.729
0.880 -5.767 -1.163
0.691 -2.796 -0.655
-1.334 -1.929 2.318
-1.145 -4.899 1.810
0.000 0.000 0.000
1.145 -4.574 1.731
-1.599 -3.122 -0.577